Model one:
# Y2BrO2 PBE relaxed
data_Y2BrO2
_symmetry_space_group_name_H-M 'P 1'
_symmetry_Int_Tables_number 1
_symmetry_space_group_name_Hall 'P 1'
_cell_length_a 7.2121
_cell_length_b 7.2121
_cell_length_c 3.1495
_cell_angle_alpha 90.00
_cell_angle_beta 90.00
_cell_angle_gamma 90.00
loop_
_atom_site_label
_atom_site_type_symbol
_atom_site_fract_x
_atom_site_fract_y
_atom_site_fract_z
Y1 Y 0.3538 0.8538 0.0000
Y2 Y 0.8538 0.6462 0.0000
Y3 Y 0.6462 0.1462 0.0000
Y4 Y 0.1462 0.3538 0.0000
O1 O 0.1276 0.6276 0.5000
O2 O 0.6276 0.8724 0.5000
O3 O 0.8724 0.3724 0.5000
O4 O 0.3724 0.1276 0.5000
Br1 Br 0.0000 0.0000 0.0000
Br2 Br 0.5000 0.5000 0.0000
# - total magnetization (μB per formula unit) = 0.000



Model two:
# Y2BrO2 PBE relaxed
data_Y2BrO2
_symmetry_space_group_name_H-M 'P 1'
_symmetry_Int_Tables_number 1
_symmetry_space_group_name_Hall 'P 1'
_cell_length_a 4.0637
_cell_length_b 4.0637
_cell_length_c 6.4381
_cell_angle_alpha 71.60
_cell_angle_beta 71.60
_cell_angle_gamma 90.00
loop_
_atom_site_label
_atom_site_type_symbol
_atom_site_fract_x
_atom_site_fract_y
_atom_site_fract_z
Y1 Y 0.3382 0.3382 0.3236
Y2 Y 0.6618 0.6618 0.6764
O1 O 0.7500 0.2500 0.5000
O2 O 0.2500 0.7500 0.5000
Br1 Br 0.0000 0.0000 0.0000
# - total magnetization (μB per formula unit) = 0.978



The most stable arrangement is model two, and the next structure is 630 meV per atom less stable.